A plane-wave DFT calculation with GGA-PBE was carried out for crystalline SnS3F at its relaxed geometry.

The structure in extended XYZ format:
```
5
Lattice="4.518 0.000 0.000 0.000 4.518 0.000 0.000 0.000 4.518" Properties=species:S:1:pos:R:3 pbc="T T T"
Sn 0.000 0.000 0.000
S 0.000 2.259 2.259
S 2.259 0.000 2.259
S 2.259 2.259 0.000
F 2.259 2.259 2.259
```

Calculated values
Uncorrected formation energy (meV per atom): 463
N(E_F) (states/eV per atom): 0.97
Spin magnetization (μB per formula unit): 0.0
SG: No. 221
Calculated volume (Å³/atom): 18.44

=====

A plane-wave DFT calculation with GGA-PBE was carried out for crystalline SnS3F at its relaxed geometry.

The structure in extended XYZ format:
```
5
Lattice="4.942 0.000 0.000 0.000 4.942 0.000 0.000 0.000 4.942" Properties=species:S:1:pos:R:3 pbc="T T T"
Sn 0.000 0.000 0.000
S 0.000 0.000 2.471
S 0.000 2.471 0.000
S 2.471 0.000 0.000
F 2.471 2.471 2.471
```

Calculated values
Uncorrected formation energy (meV per atom): 582
N(E_F) (states/eV per atom): 2.72
Spin magnetization (μB per formula unit): 0.0
SG: No. 221
Calculated volume (Å³/atom): 24.14

=====

A plane-wave DFT calculation with GGA-PBE was carried out for crystalline Sn2SF at its relaxed geometry.

The structure in extended XYZ format:
```
4
Lattice="0.000 3.451 3.451 3.451 0.000 3.451 3.451 3.451 0.000" Properties=species:S:1:pos:R:3 pbc="T T T"
Sn 1.725 1.725 1.725
Sn 5.176 5.176 5.176
S 0.000 0.000 0.000
F 3.451 3.451 3.451
```

Calculated values
Uncorrected formation energy (meV per atom): -672
N(E_F) (states/eV per atom): 0.49
Spin magnetization (μB per formula unit): 0.0
SG: No. 225
Calculated volume (Å³/atom): 20.55

=====

A plane-wave DFT calculation with GGA-PBE was carried out for crystalline SnSF at its relaxed geometry.

The structure in extended XYZ format:
```
3
Lattice="-1.864 1.864 5.797 1.864 -1.864 5.797 1.864 1.864 -5.797" Properties=species:S:1:pos:R:3 pbc="T T T"
Sn 0.000 0.000 0.000
S 0.000 0.000 6.314
F 0.000 0.000 9.628
```

Calculated values
Uncorrected formation energy (meV per atom): -1109
N(E_F) (states/eV per atom): 0.13
Spin magnetization (μB per formula unit): 0.0
SG: No. 107
Calculated volume (Å³/atom): 26.84

=====

A plane-wave DFT calculation with GGA-PBE was carried out for crystalline SnSF at its relaxed geometry.

The structure in extended XYZ format:
```
3
Lattice="3.849 0.000 0.000 -1.925 3.333 0.000 0.000 0.000 5.000" Properties=species:S:1:pos:R:3 pbc="T T T"
Sn 0.000 0.000 0.000
S 1.925 1.111 1.387
F 0.000 2.222 3.999
```

Calculated values
Uncorrected formation energy (meV per atom): -1029
N(E_F) (states/eV per atom): 0.84
Spin magnetization (μB per formula unit): 0.7
SG: No. 156
Calculated volume (Å³/atom): 21.38

=====

A plane-wave DFT calculation with GGA-PBE was carried out for crystalline SnS5F at its relaxed geometry.

The structure in extended XYZ format:
```
7
Lattice="4.322 0.000 0.000 -1.465 5.434 0.000 -1.580 -2.389 8.452" Properties=species:S:1:pos:R:3 pbc="T T T"
Sn 0.000 0.000 0.000
S -1.308 3.364 1.694
S -0.775 0.994 4.662
S 0.289 2.584 0.769
S 0.663 0.148 5.883
S 2.106 -0.468 4.543
F 2.227 0.274 0.620
```

Calculated values
Uncorrected formation energy (meV per atom): -399
N(E_F) (states/eV per atom): 0.17
Spin magnetization (μB per formula unit): 0.0
SG: No. 1
Calculated volume (Å³/atom): 28.36